# GGA+U Ga2MoSe2O10, relaxed
data_Ga2MoSe2O10
_chemical_formula_sum 'Ga8 Mo4 Se8 O40'
_symmetry_space_group_name_H-M 'P 1'
_symmetry_Int_Tables_number 1
_cell_length_a 9.031
_cell_length_b 6.141
_cell_length_c 15.231
_cell_angle_alpha 90.00
_cell_angle_beta 90.00
_cell_angle_gamma 90.00
loop_
_symmetry_equiv_pos_as_xyz
'x,y,z'
loop_
_atom_site_label
_atom_site_type_symbol
_atom_site_fract_x
_atom_site_fract_y
_atom_site_fract_z
Ga1 Ga 0.004 0.006 0.149
Ga2 Ga 0.004 0.494 0.149
Ga3 Ga 0.496 0.506 0.649
Ga4 Ga 0.496 0.994 0.649
Ga5 Ga 0.504 0.006 0.351
Ga6 Ga 0.504 0.494 0.351
Ga7 Ga 0.996 0.506 0.851
Ga8 Ga 0.996 0.994 0.851
Mo1 Mo 0.176 0.250 0.337
Mo2 Mo 0.324 0.750 0.837
Mo3 Mo 0.676 0.250 0.163
Mo4 Mo 0.824 0.750 0.663
Se1 Se 0.185 0.250 0.692
Se2 Se 0.224 0.250 0.004
Se3 Se 0.276 0.750 0.504
Se4 Se 0.315 0.750 0.192
Se5 Se 0.685 0.250 0.808
Se6 Se 0.724 0.250 0.496
Se7 Se 0.776 0.750 0.996
Se8 Se 0.815 0.750 0.308
O1 O 0.087 0.250 0.918
O2 O 0.095 0.027 0.387
O3 O 0.095 0.473 0.387
O4 O 0.096 0.250 0.221
O5 O 0.116 0.750 0.202
O6 O 0.123 0.750 0.889
O7 O 0.154 0.028 0.759
O8 O 0.154 0.472 0.759
O9 O 0.165 0.028 0.063
O10 O 0.165 0.472 0.063
O11 O 0.335 0.528 0.563
O12 O 0.335 0.972 0.563
O13 O 0.346 0.528 0.259
O14 O 0.346 0.972 0.259
O15 O 0.377 0.250 0.389
O16 O 0.384 0.250 0.702
O17 O 0.404 0.750 0.721
O18 O 0.405 0.527 0.887
O19 O 0.405 0.973 0.887
O20 O 0.413 0.750 0.418
O21 O 0.587 0.250 0.582
O22 O 0.595 0.027 0.113
O23 O 0.595 0.473 0.113
O24 O 0.596 0.250 0.279
O25 O 0.616 0.750 0.298
O26 O 0.623 0.750 0.611
O27 O 0.654 0.028 0.741
O28 O 0.654 0.472 0.741
O29 O 0.665 0.028 0.437
O30 O 0.665 0.472 0.437
O31 O 0.835 0.528 0.937
O32 O 0.835 0.972 0.937
O33 O 0.846 0.528 0.241
O34 O 0.846 0.972 0.241
O35 O 0.877 0.250 0.111
O36 O 0.884 0.250 0.798
O37 O 0.904 0.750 0.779
O38 O 0.905 0.527 0.613
O39 O 0.905 0.973 0.613
O40 O 0.913 0.750 0.082
# - electronic total energy (eV per atom) = -5.972